Below is an optimized crystal structure of Ti2Ga2C, with properties calculated at the PBE-GGA level.

Summary:
The value obtained for the formation energy is -0.2485 eV per atom. The total moment is 0.0000 μB/atom. The calculation puts the final energy at -6.462 eV per atom.

Cell: 6.7529 6.7529 7.6029 Å, 90.00 90.00 153.09°
Fractional positions:
Ti: 0.0586 0.9414 0.5000
Ti: 0.3787 0.6213 0.3316
Ti: 0.6213 0.3787 0.8316
Ti: 0.9414 0.0586 0.0000
Ga: 0.2736 0.7264 0.9787
Ga: 0.4178 0.5822 0.6894
Ga: 0.5822 0.4178 0.1894
Ga: 0.7264 0.2736 0.4787
C: 0.0288 0.9712 0.7665
C: 0.9712 0.0288 0.2666

***

Below is an optimized crystal structure of MgCoH2, with properties calculated at the PBE-GGA level.

Summary:
The total moment is 0.0000 μB/atom. The calculation puts the final energy at -3.366 eV per atom.

Cell: 3.6132 3.6132 3.6132 Å, 60.00 60.00 60.00°
Fractional positions:
Mg: 0.0000 0.0000 0.0000
Co: 0.5000 0.5000 0.5000
H: 0.2500 0.2500 0.2500
H: 0.7500 0.7500 0.7500

***

Below is an optimized crystal structure of Sm2DyTm3S6, with properties calculated at the PBE-GGA level.

Summary:
The raw formation energy comes out at -1.975 eV/atom. The total moment is 0.0000 μB/atom. The calculation puts the final energy at -6.327 eV per atom.

Cell: 8.7557 8.7557 7.8833 Å, 103.82 103.82 25.62°
Fractional positions:
Sm: 0.1674 0.1674 0.3347
Sm: 0.8326 0.8326 0.6653
Dy: 0.5000 0.5000 0.0000
Tm: 0.1680 0.1680 0.8330
Tm: 0.5000 0.5000 0.5000
Tm: 0.8320 0.8320 0.1670
S: 0.0038 0.0038 0.7477
S: 0.3326 0.3326 0.9274
S: 0.3372 0.3372 0.4076
S: 0.6628 0.6628 0.5924
S: 0.6674 0.6674 0.0726
S: 0.9962 0.9962 0.2523

***

Below is an optimized crystal structure of Hg6BiPb3, with properties calculated at the PBE-GGA level.

Summary:
The value obtained for the formation energy is 0.0351 eV per atom. The total moment is 0.0000 μB/atom. The calculation puts the final energy at -1.647 eV per atom.

Cell: 3.3658 13.3427 14.1221 Å, 110.27 96.46 96.46°
Fractional positions:
Hg: 0.0962 0.2034 0.0764
Hg: 0.1035 0.3859 0.2812
Hg: 0.1487 0.3459 0.7160
Hg: 0.1955 0.1463 0.5126
Hg: 0.3486 0.7367 0.1208
Hg: 0.3872 0.8147 0.6756
Hg: 0.6128 0.1853 0.3244
Hg: 0.6514 0.2633 0.8792
Hg: 0.8045 0.8537 0.4874
Hg: 0.8513 0.6541 0.2840
Hg: 0.8965 0.6141 0.7188
Hg: 0.9038 0.7966 0.9236
Bi: 0.4555 0.5536 0.9193
Bi: 0.5445 0.4464 0.0807
Pb: 0.2316 0.9276 0.3130
Pb: 0.2717 0.0032 0.8750
Pb: 0.2815 0.6007 0.4749
Pb: 0.7185 0.3993 0.5251
Pb: 0.7283 0.9968 0.1250
Pb: 0.7684 0.0724 0.6870